The following is a DFT calculation (PBE) of a geometry-optimized Ac4IrCl5 structure.

Cell lengths 4.339, 9.019, 10.132 Å; angles 93.63, 102.36, 90.00 degrees
Sites, in units of the cell vectors:
Ac 0.350 0.000 0.699
Ac 0.993 0.774 0.987
Ac 0.650 0.000 0.301
Ac 0.007 0.226 0.013
Ir 0.500 0.000 0.000
Cl 0.837 0.767 0.673
Cl 0.850 0.232 0.699
Cl 0.150 0.768 0.301
Cl 0.500 0.500 0.000
Cl 0.163 0.233 0.327

Formation energy without anion corrections = -1.76 eV per atom
E above lowest polymorph = 10 meV/atom
SG = C2/m (12)

---

The following is a DFT calculation (PBE) of a geometry-optimized Ca2HSO structure.

Cell lengths 4.623, 3.531, 4.623 Å; angles 90.00, 90.00, 90.00 degrees
Sites, in units of the cell vectors:
H 0.000 0.000 0.000
Ca 0.000 0.000 0.500
Ca 0.500 0.000 0.000
S 0.000 0.500 0.000
O 0.500 0.500 0.500

E = -4.37 eV per atom
SG = P4/mmm (123)